Below is TiI2OF after structural relaxation, with properties calculated at the PBE-GGA level.

```
TiI2OF
1.0
-5.1413 1.0904 1.7179
-1.7294 0.1183 -5.2506
-0.7156 -3.6170 0.1542
I F O Ti
2 1 1 1
Direct
0.0000 0.5000 0.0000
0.5000 0.0000 0.0000
0.5000 0.5000 0.5000
0.0000 0.0000 0.5000
0.0000 0.0000 0.0000
```

Properties
Crystal system ... tetragonal
Size of the total moment ... 0.00 μB per formula unit
Space group ... P4/mmm
ΔE to the lowest computed polymorph ... 0.000 kcal/mol of atoms
N(E_F) ... 1.572 states/eV/atom